# 1
## Pm7Hg3N2 (PBE)

Data for a relaxed structure of Pm7Hg3N2.

```
data_Pm7Hg3N2
_chemical_formula_sum 'Pm14 Hg6 N4'
_space_group_name_H-M_alt 'C m m m'
_space_group_IT_number 65
_space_group_name_Hall '-C 2 2'
_cell_length_a 4.996
_cell_length_b 24.095
_cell_length_c 4.953
_cell_angle_alpha 90.00
_cell_angle_beta 90.00
_cell_angle_gamma 90.00
loop_
_atom_site_label
_atom_site_fract_x
_atom_site_fract_y
_atom_site_fract_z
_atom_site_occupancy
Pm1 0.000 0.000 0.000 1
Pm2 0.000 0.101 0.500 1
Pm3 0.000 0.203 0.000 1
Pm4 0.000 0.400 0.000 1
Hg1 0.000 0.301 0.500 1
Hg2 0.000 0.500 0.500 1
N1 0.000 0.104 0.000 1
```

Computed properties:
Uncorrected formation energy, meV/atom: -734
Electronic total energy, eV/cell: -119.2
Density, Mg/m³: 9.16

# 2
## Pm6Hg3N (PBE)

Data for a relaxed structure of Pm6Hg3N.

```
data_Pm6Hg3N
_chemical_formula_sum 'Pm12 Hg6 N2'
_space_group_name_H-M_alt 'P 1 21/c 1'
_space_group_IT_number 14
_cell_length_a 6.647
_cell_length_b 8.215
_cell_length_c 11.846
_cell_angle_alpha 90.00
_cell_angle_beta 119.51
_cell_angle_gamma 90.00
loop_
_space_group_symop_operation_xyz
'x,y,z'
'-x,-y,-z'
'-x,y+1/2,-z+1/2'
'x,-y+1/2,z+1/2'
loop_
_atom_site_label
_atom_site_fract_x
_atom_site_fract_y
_atom_site_fract_z
_atom_site_occupancy
Pm1 0.074 0.050 0.224 1
Pm2 0.182 0.724 0.064 1
Pm3 0.374 0.145 0.052 1
Hg1 0.318 0.112 0.736 1
Hg2 0.500 0.000 0.500 1
N1 0.000 0.000 0.000 1
```

Computed properties:
Uncorrected formation energy, meV/atom: -514
Electronic total energy, eV/cell: -85.8
Density, Mg/m³: 8.76

# 3
## Pm3Pr4Hg3N2 (PBE)

Data for a relaxed structure of Pm3Pr4Hg3N2.

```
data_Pm3Pr4Hg3N2
_chemical_formula_sum 'Pm6 Pr8 Hg6 N4'
_space_group_name_H-M_alt 'I m m m'
_space_group_IT_number 71
_space_group_name_Hall '-I 2 2'
_cell_length_a 5.035
_cell_length_b 5.113
_cell_length_c 24.867
_cell_angle_alpha 90.00
_cell_angle_beta 90.00
_cell_angle_gamma 90.00
loop_
_atom_site_label
_atom_site_fract_x
_atom_site_fract_y
_atom_site_fract_z
_atom_site_occupancy
Pm1 0.000 0.000 0.000 1
Pm2 0.000 0.500 0.404 1
Pr1 0.000 0.000 0.200 1
Pr2 0.000 0.500 0.096 1
Hg1 0.000 0.000 0.326 1
Hg2 0.000 0.000 0.500 1
N1 0.000 0.000 0.100 1
```

Computed properties:
Uncorrected formation energy, meV/atom: -699
Electronic total energy, eV/cell: -118.6
Density, Mg/m³: 8.45

# 4
## PmPr2HgN (PBE)

Data for a relaxed structure of PmPr2HgN.

```
data_PmPr2HgN
_chemical_formula_sum 'Pm1 Pr2 Hg1 N1'
_space_group_name_H-M_alt 'P 4/m m m'
_space_group_IT_number 123
_space_group_name_Hall '-P 4 2'
_cell_length_a 5.074
_cell_length_b 5.074
_cell_length_c 4.962
_cell_angle_alpha 90.00
_cell_angle_beta 90.00
_cell_angle_gamma 90.00
loop_
_atom_site_label
_atom_site_fract_x
_atom_site_fract_y
_atom_site_fract_z
_atom_site_occupancy
Pm1 0.000 0.000 0.000 1
Pr1 0.000 0.500 0.500 1
Hg1 0.500 0.500 0.000 1
N1 0.000 0.000 0.500 1
```

Computed properties:
Uncorrected formation energy, meV/atom: -747
Electronic total energy, eV/cell: -26.7
Density, Mg/m³: 8.34

# 5
## Pm4HgSbN (PBE)

Data for a relaxed structure of Pm4HgSbN.

```
data_Pm4HgSbN
_chemical_formula_sum 'Pm16 Hg4 Sb4 N4'
_space_group_name_H-M_alt 'C m c m'
_space_group_IT_number 63
_space_group_name_Hall '-C 2c 2'
_cell_length_a 6.880
_cell_length_b 16.048
_cell_length_c 6.885
_cell_angle_alpha 90.00
_cell_angle_beta 90.00
_cell_angle_gamma 90.00
loop_
_atom_site_label
_atom_site_fract_x
_atom_site_fract_y
_atom_site_fract_z
_atom_site_occupancy
Pm1 0.000 0.083 0.250 1
Pm2 0.000 0.411 0.250 1
Pm3 0.250 0.250 0.000 1
Hg1 0.000 0.114 0.750 1
Sb1 0.000 0.391 0.750 1
N1 0.000 0.247 0.250 1
```

Computed properties:
Uncorrected formation energy, meV/atom: -876
Electronic total energy, eV/cell: -151.5
Density, Mg/m³: 8.01

# 6
## PmSm2HgN (PBE)

Data for a relaxed structure of PmSm2HgN.

```
data_PmSm2HgN
_chemical_formula_sum 'Pm1 Sm2 Hg1 N1'
_space_group_name_H-M_alt 'P 4/m m m'
_space_group_IT_number 123
_space_group_name_Hall '-P 4 2'
_cell_length_a 4.941
_cell_length_b 4.941
_cell_length_c 4.976
_cell_angle_alpha 90.00
_cell_angle_beta 90.00
_cell_angle_gamma 90.00
loop_
_atom_site_label
_atom_site_fract_x
_atom_site_fract_y
_atom_site_fract_z
_atom_site_occupancy
Pm1 0.000 0.000 0.000 1
Sm1 0.000 0.500 0.500 1
Hg1 0.500 0.500 0.000 1
N1 0.000 0.000 0.500 1
```

Computed properties:
Uncorrected formation energy, meV/atom: -809
Electronic total energy, eV/cell: -26.9
Density, Mg/m³: 9.03

Repeat the third record exactly.
## Pm3Pr4Hg3N2 (PBE)

Data for a relaxed structure of Pm3Pr4Hg3N2.

```
data_Pm3Pr4Hg3N2
_chemical_formula_sum 'Pm6 Pr8 Hg6 N4'
_space_group_name_H-M_alt 'I m m m'
_space_group_IT_number 71
_space_group_name_Hall '-I 2 2'
_cell_length_a 5.035
_cell_length_b 5.113
_cell_length_c 24.867
_cell_angle_alpha 90.00
_cell_angle_beta 90.00
_cell_angle_gamma 90.00
loop_
_atom_site_label
_atom_site_fract_x
_atom_site_fract_y
_atom_site_fract_z
_atom_site_occupancy
Pm1 0.000 0.000 0.000 1
Pm2 0.000 0.500 0.404 1
Pr1 0.000 0.000 0.200 1
Pr2 0.000 0.500 0.096 1
Hg1 0.000 0.000 0.326 1
Hg2 0.000 0.000 0.500 1
N1 0.000 0.000 0.100 1
```

Computed properties:
Uncorrected formation energy, meV/atom: -699
Electronic total energy, eV/cell: -118.6
Density, Mg/m³: 8.45